A geometry-optimized AgMo6Se4S4 structure, computed with PBE.

Properties
The value obtained for the raw total energy is -106.50 eV per cell. The magnetic moment is 0.00 μB/cell.

abc: 6.6527 6.6910 6.6788
angles: 91.89 91.90 93.30
Last column: nearest neighbours and their distance in Å.
Fractional coordinates of all 15 atoms:
S1 0.1363 0.7085 0.4032  4 Mo 2.42-2.49
Mo1 0.4066 0.5392 0.2400  2 S 2.45-2.47, 3 Se 2.56-2.61, 2 Mo 2.66-2.74
Ag1 0.0438 0.0809 0.8837  2 S 2.59, 2 Se 2.60-2.61
Se1 0.6231 0.8690 0.2621  4 Mo 2.56-2.64
S2 0.3961 0.1231 0.7305  4 Mo 2.43-2.55, 1 Ag 2.59
S3 0.8553 0.2777 0.6155  4 Mo 2.41-2.51, 1 Ag 2.59
Se2 0.7850 0.7829 0.7901  3 Mo 2.54-2.56, 1 Ag 2.60
Mo2 0.2140 0.3956 0.5663  3 S 2.46-2.51, 2 Se 2.55, 1 Mo 2.74
S4 0.7196 0.3882 0.1394  4 Mo 2.46-2.56
Se3 0.2529 0.6134 0.8867  4 Mo 2.55-2.65
Mo3 0.5483 0.2215 0.4148  3 S 2.41-2.46, 2 Se 2.55-2.62, 1 Mo 2.66
Mo4 0.4487 0.7698 0.5971  2 S 2.42-2.55, 3 Se 2.54-2.64
Mo5 0.5853 0.4439 0.7827  3 S 2.43-2.56, 2 Se 2.56-2.65
Mo6 0.7813 0.5892 0.4539  3 S 2.45-2.49, 2 Se 2.55-2.56
Se4 0.2034 0.1969 0.2341  3 Mo 2.55-2.59, 1 Ag 2.61